5
Lattice="-3.595 -1.802 -2.261 2.842 -1.540 -3.291 0.531 -3.958 2.310" Properties=species:S:1:pos:R:3 comment="HfCr3Fe | Alexandria via LeMat-Bulk | PBE-GGA | relaxed" vol_a3_per_cell=98 total_energy_ev_per_atom=-7.144 formation_enthalpy_0k_ev_per_fu=11.566 pbc="T T T"
Cr 1.421 -0.770 -1.646
Cr 0.265 -1.979 1.155
Cr -1.798 -0.901 -1.131
Hf 0.000 0.000 0.000
Fe -0.111 -3.650 -1.621



20
Lattice="-6.966 -4.770 3.419 6.571 0.696 6.270 -2.872 8.326 -2.326" Properties=species:S:1:pos:R:3 comment="BaEr7Se12 | Alexandria via LeMat-Bulk | PBE-GGA | relaxed" vol_a3_per_cell=582 total_energy_ev_per_atom=-5.439 raw_formation_energy_ev_per_atom=-1.655 pbc="T T T"
Ba 0.000 0.000 0.000
Er -4.919 1.778 0.547
Er -0.198 -2.037 4.845
Er 1.850 4.511 1.972
Er -1.436 4.163 -1.163
Er -3.483 -2.385 1.710
Er -1.634 2.126 3.682
Er 3.285 0.348 3.135
Se -2.363 2.745 1.058
Se 2.858 0.147 5.888
Se -0.904 1.507 6.306
Se -6.125 4.104 1.476
Se -1.918 -0.609 3.192
Se -2.069 -2.167 6.897
Se -1.349 4.861 4.172
Se -1.198 6.419 0.467
Se -5.752 -1.240 2.869
Se 2.485 5.492 4.495
Se 1.070 2.042 2.987
Se -4.337 2.210 4.377



24
Lattice="8.677 0.000 5.010 2.892 8.181 5.010 0.000 0.000 10.020" Properties=species:S:1:pos:R:3 comment="Nd4GaAg | Alexandria via LeMat-Bulk | PBE-GGA | relaxed" vol_a3_per_cell=711 total_energy_ev_per_atom=-4.381 formation_enthalpy_0k_ev_per_fu=-1.335 polymorph_energy_mev_per_atom=0.0 pbc="T T T"
Nd 4.430 3.133 7.673
Nd 8.494 3.133 10.020
Nd 5.785 6.964 10.020
Nd 4.430 3.133 12.366
Nd 6.488 4.588 15.029
Nd 10.867 7.684 15.029
Nd 7.582 7.684 13.133
Nd 9.772 4.588 16.925
Nd 9.772 4.588 13.133
Nd 7.582 7.684 16.925
Nd 2.172 1.536 10.020
Nd 9.398 6.645 10.020
Nd 3.978 6.645 6.890
Nd 7.591 1.536 13.149
Nd 7.591 1.536 6.890
Nd 3.978 6.645 13.149
Ga 6.929 4.900 12.002
Ga 3.496 4.900 10.020
Ga 5.785 1.663 10.020
Ga 6.929 4.900 8.037
Ag 1.886 1.333 3.266
Ag 4.906 1.333 5.010
Ag 2.892 4.181 5.010
Ag 1.886 1.333 6.754



6
Lattice="5.083 -1.299 3.036 0.726 -5.478 2.491 4.020 -3.886 -2.342" Properties=species:S:1:pos:R:3 comment="BaBeCd4 | Alexandria via LeMat-Bulk | PBE-GGA | relaxed" vol_a3_per_cell=158 total_energy_ev_per_atom=-1.334 formation_enthalpy_0k_ev_per_fu=1.308 pbc="T T T"
Ba 7.372 -7.998 2.388
Be 0.000 0.000 0.000
Cd 6.238 -4.643 2.721
Cd 5.702 -5.947 0.010
Cd 4.042 -6.749 2.446
Cd 3.676 -3.988 1.191



4
Lattice="3.873 0.000 0.000 0.000 3.873 0.000 0.000 0.000 10.019" Properties=species:S:1:pos:R:3 comment="Sr2AcCu | Alexandria via LeMat-Bulk | PBE-GGA | relaxed" vol_a3_per_cell=150 total_energy_ev_per_atom=-2.818 formation_enthalpy_0k_ev_per_fu=0.295 polymorph_energy_mev_per_atom=0.0 pbc="T T T"
Sr 0.000 0.000 8.183
Sr 0.000 0.000 1.837
Ac 1.937 1.937 5.010
Cu 1.937 1.937 0.000



9
Lattice="4.764 0.000 0.000 0.000 4.764 0.000 0.000 0.000 8.974" Properties=species:S:1:pos:R:3 comment="BaCaSn2Pd5 | Alexandria via LeMat-Bulk | PBE-GGA | relaxed" vol_a3_per_cell=204 total_energy_ev_per_atom=-4.711 formation_enthalpy_0k_ev_per_fu=-4.507 pbc="T T T"
Ba 0.000 0.000 4.487
Ca 0.000 0.000 0.000
Sn 2.382 2.382 1.426
Sn 2.382 2.382 7.547
Pd 0.000 2.382 2.482
Pd 2.382 0.000 2.482
Pd 0.000 2.382 6.491
Pd 2.382 0.000 6.491
Pd 2.382 2.382 4.487



8
Lattice="-3.748 -0.339 -2.107 1.537 -7.532 -1.523 -3.901 0.189 6.909" Properties=species:S:1:pos:R:3 comment="Ac4CoSiCl2 | Alexandria via LeMat-Bulk | PBE-GGA | relaxed" vol_a3_per_cell=257 total_energy_ev_per_atom=-5.026 raw_formation_energy_ev_per_atom=-0.944 pbc="T T T"
Ac -2.303 -2.058 0.012
Ac -3.810 -5.624 3.267
Ac -2.663 -1.960 5.052
Ac 0.299 -5.383 0.334
Co -1.106 -3.936 -1.815
Si 0.000 0.000 0.000
Cl -3.825 -0.075 2.401
Cl -1.182 -3.671 2.693



3
Lattice="5.370 0.000 0.000 2.685 4.651 0.000 2.685 1.550 4.385" Properties=species:S:1:pos:R:3 comment="InTePb | Alexandria via LeMat-Bulk | PBE-GGA | relaxed" vol_a3_per_cell=110 total_energy_ev_per_atom=-3.140 raw_formation_energy_ev_per_atom=0.056 polymorph_energy_mev_per_atom=177.7 pbc="T T T"
In 5.370 3.100 2.192
Pb 2.685 1.550 1.096
Te 0.000 0.000 0.000



5
Lattice="6.451 0.000 0.000 0.000 5.938 0.000 0.000 0.000 6.451" Properties=species:S:1:pos:R:3 comment="Na2MgScN | Alexandria via LeMat-Bulk | PBE-GGA | relaxed" vol_a3_per_cell=247 total_energy_ev_per_atom=-1.977 raw_formation_energy_ev_per_atom=1.801 pbc="T T T"
Sc 0.000 0.000 0.000
Na 0.000 0.000 3.226
Na 3.226 0.000 0.000
Mg 0.000 2.969 0.000
N 3.226 2.969 3.226



7
Lattice="5.498 0.200 0.318 2.306 4.711 -0.438 -1.442 -1.687 5.044" Properties=species:S:1:pos:R:3 comment="Li2MgAg4 | Alexandria via LeMat-Bulk | PBE-GGA | relaxed" vol_a3_per_cell=125 total_energy_ev_per_atom=-2.519 formation_enthalpy_0k_ev_per_fu=-0.806 polymorph_energy_mev_per_atom=0.0 pbc="T T T"
Li 3.754 2.798 2.357
Li 2.608 0.426 2.567
Mg 0.000 0.000 0.000
Ag 3.440 1.753 4.920
Ag 2.922 1.472 0.005
Ag 5.320 0.593 3.176
Ag 1.042 2.632 1.749



4
Lattice="4.508 0.000 0.000 0.000 4.508 0.000 0.000 0.000 4.508" Properties=species:S:1:pos:R:3 comment="KMo3 | Alexandria via LeMat-Bulk | PBE-GGA | relaxed" vol_a3_per_cell=92 total_energy_ev_per_atom=-3.962 formation_enthalpy_0k_ev_per_fu=17.744 polymorph_energy_mev_per_atom=3698.4 pbc="T T T"
K 0.000 0.000 0.000
Mo 2.254 0.000 0.000
Mo 0.000 2.254 0.000
Mo 0.000 0.000 2.254



4
Lattice="-0.509 -1.931 -1.957 0.530 -3.117 2.938 -3.908 1.701 -0.660" Properties=species:S:1:pos:R:3 comment="Mn2BMo | Alexandria via LeMat-Bulk | PBE-GGA | relaxed" vol_a3_per_cell=45 total_energy_ev_per_atom=-8.929 formation_enthalpy_0k_ev_per_fu=0.133 pbc="T T T"
Mn -2.556 -3.398 0.026
Mn -1.331 0.052 0.295
B -0.255 -0.966 -0.978
Mo 0.010 -2.524 0.490